# 1
Density functional theory data (PBE) for TaP3I after structural relaxation.

Cell: 4.8834 4.8834 4.8834 Å, 90.00 90.00 90.00°
Closest atoms and distances in Å follow each position.
Space group Pm-3m (No. 221)
One atom of each set of equivalent atoms:
1 Ta 0.0000 0.0000 0.0000 (multiplicity 1)  12 P 3.45
2 P 0.0000 0.5000 0.5000 (multiplicity 3)  2 I 2.44
3 I 0.5000 0.5000 0.5000 (multiplicity 1)  6 P 2.44

Calculated values
Formation energy (no corrections), eV/atom: 2.0163
Density, g cm⁻³: 5.71
Energy relative to the lowest polymorph listed for this composition, eV/atom: 1.586
M_tot, μB/cell: 0.00

=====

# 2
Density functional theory data (PBE) for TaTePI2 after structural relaxation.

Cell: 5.2354 5.2354 5.4432 Å, 90.00 90.00 90.00°
Closest atoms and distances in Å follow each position.
Space group P4/mmm (No. 123)
One atom of each set of equivalent atoms:
1 Ta 0.0000 0.0000 0.0000 (multiplicity 1)  4 Te 3.70, 8 I 3.78
2 Te 0.5000 0.5000 0.0000 (multiplicity 1)  2 P 2.72
3 P 0.5000 0.5000 0.5000 (multiplicity 1)  4 I 2.62, 2 Te 2.72
4 I 0.0000 0.5000 0.5000 (multiplicity 2)  2 P 2.62

Calculated values
Formation energy (no corrections), eV/atom: 1.1984
Density, g cm⁻³: 6.60
Energy relative to the lowest polymorph listed for this composition, eV/atom: 0.495
M_tot, μB/cell: 2.91

=====

# 3
Density functional theory data (PBE) for TaTePI2 after structural relaxation.

Cell: 5.6197 5.6197 5.3930 Å, 90.00 90.00 90.00°
Closest atoms and distances in Å follow each position.
Space group P4/mmm (No. 123)
One atom of each set of equivalent atoms:
1 Ta 0.0000 0.0000 0.0000 (multiplicity 1)  2 Te 2.70, 4 I 2.81
2 Te 0.0000 0.0000 0.5000 (multiplicity 1)  2 Ta 2.70
3 P 0.5000 0.5000 0.5000 (multiplicity 1)  8 I 3.89, 4 Te 3.97
4 I 0.0000 0.5000 0.0000 (multiplicity 2)  2 Ta 2.81

Calculated values
Formation energy (no corrections), eV/atom: 0.7029
Density, g cm⁻³: 5.78
Energy relative to the lowest polymorph listed for this composition, eV/atom: 0.000
M_tot, μB/cell: 2.88

=====

# 4
Density functional theory data (PBE) for TaPW2I after structural relaxation.

Cell: 4.4830 4.4830 5.1590 Å, 90.00 90.00 90.00°
Closest atoms and distances in Å follow each position.
Space group P4/mmm (No. 123)
One atom of each set of equivalent atoms:
1 Ta 0.0000 0.0000 0.0000 (multiplicity 1)  4 I 3.17, 8 W 3.42
2 P 0.5000 0.5000 0.5000 (multiplicity 1)  4 W 2.24
3 W 0.0000 0.5000 0.5000 (multiplicity 2)  2 P 2.24
4 I 0.5000 0.5000 0.0000 (multiplicity 1)  2 P 2.58

Calculated values
Formation energy (no corrections), eV/atom: 1.7311
Density, g cm⁻³: 11.32
M_tot, μB/cell: 0.00

=====

# 5
Density functional theory data (PBE) for Ta2ZnPI after structural relaxation.

Cell: 4.9671 4.9671 4.1948 Å, 90.00 90.00 90.00°
Closest atoms and distances in Å follow each position.
Space group P4/mmm (No. 123)
One atom of each set of equivalent atoms:
1 Ta 0.0000 0.5000 0.0000 (multiplicity 2)  2 Zn 2.48
2 Zn 0.0000 0.0000 0.0000 (multiplicity 1)  2 P 2.10
3 P 0.0000 0.0000 0.5000 (multiplicity 1)  2 Zn 2.10
4 I 0.5000 0.5000 0.5000 (multiplicity 1)  8 Ta 3.25, 4 P 3.51

Calculated values
Formation energy (no corrections), eV/atom: 1.3293
Density, g cm⁻³: 9.39
M_tot, μB/cell: 0.00

=====

# 6
Density functional theory data (PBE) for Tb2PI3 after structural relaxation.

Cell: 20.9156 4.3417 14.1848 Å, 90.00 129.97 90.00°
Closest atoms and distances in Å follow each position.
Space group C2/m (No. 12)
One atom of each set of equivalent atoms:
1 Tb 0.0854 0.0000 0.4733 (multiplicity 4)  2 P 2.72-2.74
2 Tb 0.1361 0.5000 0.8094 (multiplicity 4)  2 P 2.70
3 P 0.0842 0.0000 0.6638 (multiplicity 4)  4 Tb 2.70-2.74
4 I 0.0422 0.5000 0.2708 (multiplicity 4)  3 Tb 3.12-3.23
5 I 0.1689 0.0000 0.0108 (multiplicity 4)  3 Tb 3.13-3.29
6 I 0.2228 0.5000 0.6206 (multiplicity 4)  2 Tb 3.10

Calculated values
Formation energy (no corrections), eV/atom: -1.3287
Density, g cm⁻³: 4.91
M_tot, μB/cell: 0.00